The following is a PBE calculation of a relaxed structure of CsKCa3, from Alexandria. Values from VASP.

The structure in Quantum ESPRESSO input format:
```
&SYSTEM
  ibrav = 0, nat = 5, ntyp = 3
/
ATOMIC_SPECIES
Cs 132.91 Cs.upf
K 39.10 K.upf
Ca 40.08 Ca.upf
CELL_PARAMETERS angstrom
7.141 0.000 0.000
0.000 7.141 0.000
0.000 0.000 7.141
ATOMIC_POSITIONS crystal
Cs 0.000 0.000 0.000
K 0.500 0.500 0.500
Ca 0.000 0.000 0.500
Ca 0.000 0.500 0.000
Ca 0.500 0.000 0.000
```

Properties
The calculation puts the energy of formation from the pure elements at 0.83 eV/atom. As for the space group: No. 221. The distance to the lowest polymorph of the same formula is 218.6 meV/atom.


The following is a PBE calculation of a relaxed structure of TbPaZn, from Alexandria. Values from VASP.

The structure in Quantum ESPRESSO input format:
```
&SYSTEM
  ibrav = 0, nat = 6, ntyp = 3
/
ATOMIC_SPECIES
Tb 158.93 Tb.upf
Pa 231.04 Pa.upf
Zn 65.41 Zn.upf
CELL_PARAMETERS angstrom
3.213 0.000 0.000
0.000 3.213 0.000
0.000 0.000 13.854
ATOMIC_POSITIONS crystal
Tb 0.000 0.000 0.000
Tb 0.500 0.500 0.500
Pa 0.000 0.000 0.307
Pa 0.500 0.500 0.807
Zn 0.000 0.000 0.653
Zn 0.500 0.500 0.153
```

Properties
The calculation puts the energy of formation from the pure elements at 0.03 eV/atom. As for the space group: No. 107. The distance to the lowest polymorph of the same formula is 0.0 meV/atom.